(1)
Material: Y3CdGe
Method: DFT, PBE
State: optimized geometry

Summary:
Its formation enthalpy at 0 K is -0.176 eV/atom. The value obtained for the energy above the most stable polymorph in this dataset is 0.0 meV per atom.

Cell lengths 5.441, 5.441, 5.441 Å; angles 90.00, 90.00, 90.00 degrees
Space group Pm-3m (No. 221)
Asymmetric unit:
Y (0.000, 0.000, 0.500) x3
Cd (0.500, 0.500, 0.500) x1
Ge (0.000, 0.000, 0.000) x1

***

(2)
Material: Ho7GaI12
Method: DFT, PBE
State: optimized geometry

Summary:
The raw formation energy comes out at -1.1750 eV per atom.

Cell lengths 15.6419, 15.6419, 10.4045 Å; angles 90.00, 90.00, 120.00 degrees
Space group R-3 (No. 148, hexagonal axes)
Asymmetric unit:
Ho (0.0000, 0.0000, 0.0000) x3
Ho (0.0462, 0.8835, 0.3491) x18
Ga (0.0000, 0.0000, 0.5000) x3
I (0.0214, 0.4350, 0.1639) x18
I (0.0517, 0.8687, 0.8381) x18

***

(3)
Material: FePb2Br
Method: DFT, PBE
State: optimized geometry

Summary:
The raw formation energy comes out at 0.3086 eV per atom. The value obtained for the energy above the most stable polymorph in this dataset is 218.0 meV per atom.

Cell lengths 3.265, 4.654, 13.940 Å; angles 90.00, 90.00, 90.00 degrees
Space group Immm (No. 71)
Asymmetric unit:
Fe (0.000, 0.000, 0.000) x2
Pb (0.000, 0.500, 0.317) x4
Br (0.000, 0.000, 0.500) x2

***

(4)
Material: CaAl3Sn
Method: DFT, PBE
State: optimized geometry

Summary:
Its formation enthalpy at 0 K is 0.530 eV/atom. The value obtained for the energy above the most stable polymorph in this dataset is 0.0 meV per atom.

Cell lengths 5.315, 5.315, 5.315 Å; angles 90.00, 90.00, 90.00 degrees
Space group Pm-3m (No. 221)
Asymmetric unit:
Ca (0.000, 0.000, 0.000) x1
Al (0.000, 0.500, 0.500) x3
Sn (0.500, 0.500, 0.500) x1

***

(5)
Material: Cs2TlTcF6
Method: DFT, PBE
State: optimized geometry

Summary:
The raw formation energy comes out at -2.2538 eV per atom.

Cell lengths 6.694, 6.694, 9.522 Å; angles 90.00, 90.00, 90.00 degrees
Space group I4/mmm (No. 139)
Asymmetric unit:
Cs (0.000, 0.500, 0.250) x4
Tl (0.000, 0.000, 0.000) x2
Tc (0.000, 0.000, 0.500) x2
F (0.000, 0.000, 0.281) x4
F (0.216, 0.216, 0.500) x8

***

(6)
Material: Sm3DyAl
Method: DFT, PBE
State: optimized geometry

Summary:
Its formation enthalpy at 0 K is -0.125 eV/atom. The value obtained for the energy above the most stable polymorph in this dataset is 0.0 meV per atom.

Cell lengths 13.138, 3.654, 12.535 Å; angles 90.00, 95.47, 90.00 degrees
Space group C2/m (No. 12)
Asymmetric unit:
Sm (0.036, 0.000, 0.196) x4
Sm (0.136, 0.500, 0.980) x4
Sm (0.143, 0.000, 0.447) x4
Dy (0.219, 0.000, 0.746) x4
Al (0.051, 0.500, 0.619) x4

***

(7)
Material: OsAuO2
Method: DFT, PBE
State: optimized geometry

Summary:
The raw formation energy comes out at -0.3265 eV per atom. The value obtained for the energy above the most stable polymorph in this dataset is 0.0 meV per atom.

Cell lengths 2.7725, 2.7725, 28.0694 Å; angles 90.00, 90.00, 120.00 degrees
Space group R-3m (No. 166, hexagonal axes)
Asymmetric unit:
Os (0.0000, 0.0000, 0.0000) x3
Au (0.0000, 0.0000, 0.5000) x3
O (0.0000, 0.0000, 0.3802) x6

***

(8)
Material: NaHfCrCo2
Method: DFT, PBE
State: optimized geometry

Summary:
Its formation enthalpy at 0 K is 1.306 eV/atom.

Cell lengths 4.642, 4.642, 5.029 Å; angles 90.00, 90.00, 90.00 degrees
Space group P4/mmm (No. 123)
Asymmetric unit:
Na (0.000, 0.000, 0.000) x1
Hf (0.500, 0.500, 0.500) x1
Cr (0.500, 0.500, 0.000) x1
Co (0.000, 0.500, 0.500) x2

***

(9)
Material: LiNd2Tl3
Method: DFT, PBE
State: optimized geometry

Summary:
Its formation enthalpy at 0 K is -0.322 eV/atom. The value obtained for the energy above the most stable polymorph in this dataset is 21.2 meV per atom.

Cell lengths 7.462, 10.024, 17.380 Å; angles 90.00, 90.00, 90.00 degrees
Space group Fmmm (No. 69)
Asymmetric unit:
Li (0.000, 0.000, 0.168) x8
Nd (0.246, 0.000, 0.500) x8
Nd (0.250, 0.250, 0.250) x8
Tl (0.000, 0.000, 0.325) x8
Tl (0.000, 0.237, 0.088) x16

***

(10)
Material: MnSi2Te
Method: DFT, PBE
State: optimized geometry

Summary:
The raw formation energy comes out at 0.1622 eV per atom.

Cell lengths 7.751, 3.680, 5.612 Å; angles 90.00, 104.82, 90.00 degrees
Space group C2/m (No. 12)
Asymmetric unit:
Mn (0.000, 0.000, 0.000) x2
Si (0.172, 0.500, 0.873) x4
Te (0.000, 0.000, 0.500) x2

***

(11)
Material: MoAsPb2
Method: DFT, PBE
State: optimized geometry

Summary:
Its formation enthalpy at 0 K is 0.359 eV/atom.

Cell lengths 11.036, 3.295, 5.391 Å; angles 90.00, 108.08, 90.00 degrees
Space group Cm (No. 8)
Asymmetric unit:
Mo (0.000, 0.000, 0.000) x2
As (0.159, 0.500, 0.274) x2
Pb (0.250, 0.000, 0.867) x2
Pb (0.447, 0.000, 0.495) x2

***

(12)
Material: BaLiPuO5
Method: DFT, PBE
State: optimized geometry

Summary:
The raw formation energy comes out at -2.5228 eV per atom.

Cell lengths 7.302, 9.802, 8.149 Å; angles 90.00, 114.80, 90.00 degrees
Space group C2/c (No. 15)
Asymmetric unit:
Ba (0.000, 0.171, 0.250) x4
Li (0.000, 0.196, 0.750) x4
Pu (0.000, 0.500, 0.000) x4
O (0.000, 0.440, 0.250) x4
O (0.084, 0.311, 0.584) x8
O (0.219, 0.055, 0.907) x8

***

(13)
Material: La3PmRu
Method: DFT, PBE
State: optimized geometry

Summary:
Its formation enthalpy at 0 K is -0.203 eV/atom. The value obtained for the energy above the most stable polymorph in this dataset is 0.0 meV per atom.

Cell lengths 12.218, 8.880, 8.601 Å; angles 90.00, 133.86, 90.00 degrees
Space group C2/m (No. 12)
Asymmetric unit:
La (0.043, 0.000, 0.332) x4
La (0.248, 0.295, 0.788) x8
Pm (0.046, 0.500, 0.250) x4
Ru (0.244, 0.000, 0.856) x4

***

(14)
Material: Zr2NbAlTe
Method: DFT, PBE
State: optimized geometry

Summary:
The raw formation energy comes out at 0.5959 eV per atom.

Cell lengths 5.055, 5.055, 4.732 Å; angles 90.00, 90.00, 90.00 degrees
Space group P4/mmm (No. 123)
Asymmetric unit:
Zr (0.000, 0.500, 0.000) x2
Nb (0.000, 0.000, 0.500) x1
Al (0.000, 0.000, 0.000) x1
Te (0.500, 0.500, 0.500) x1

***

(15)
Material: Y4Ir6O19
Method: DFT, PBE
State: optimized geometry

Summary:
The raw formation energy comes out at -1.6152 eV per atom.

Cell lengths 9.028, 9.028, 9.028 Å; angles 90.00, 90.00, 90.00 degrees
Space group I23 (No. 197)
Asymmetric unit:
Y (0.146, 0.146, 0.854) x8
Ir (0.000, 0.343, 0.500) x12
O (0.000, 0.000, 0.000) x2
O (0.000, 0.000, 0.329) x12
O (0.016, 0.325, 0.716) x24

***

(16)
Material: NpNi2Te3
Method: DFT, PBE
State: optimized geometry

Summary:
The raw formation energy comes out at -0.3281 eV per atom. The value obtained for the energy above the most stable polymorph in this dataset is 10.1 meV per atom.

Cell lengths 6.849, 4.036, 10.925 Å; angles 90.00, 96.03, 90.00 degrees
Space group P2_1/m (No. 11)
Asymmetric unit:
Np (0.042, 0.250, 0.162) x2
Ni (0.020, 0.750, 0.411) x2
Ni (0.316, 0.750, 0.068) x2
Te (0.202, 0.750, 0.624) x2
Te (0.290, 0.250, 0.929) x2
Te (0.327, 0.750, 0.298) x2

***

(17)
Material: TbHo2Tc9
Method: DFT, PBE
State: optimized geometry

Summary:
Its formation enthalpy at 0 K is -0.061 eV/atom.

Cell lengths 5.3503, 5.3503, 26.1620 Å; angles 90.00, 90.00, 120.00 degrees
Space group R-3m (No. 166, hexagonal axes)
Asymmetric unit:
Tb (0.0000, 0.0000, 0.0000) x3
Ho (0.0000, 0.0000, 0.1436) x6
Tc (0.0000, 0.0000, 0.3381) x6
Tc (0.0000, 0.0000, 0.5000) x3
Tc (0.0103, 0.5051, 0.9165) x18

***

(18)
Material: Li2HfSc2
Method: DFT, PBE
State: optimized geometry

Summary:
Its formation enthalpy at 0 K is 0.294 eV/atom.

Cell lengths 8.157, 8.157, 3.097 Å; angles 90.00, 90.00, 90.00 degrees
Space group P4/mbm (No. 127)
Asymmetric unit:
Li (0.115, 0.385, 0.000) x4
Hf (0.000, 0.000, 0.000) x2
Sc (0.185, 0.685, 0.500) x4

***

(19)
Material: HfNiIr
Method: DFT, PBE
State: optimized geometry

Summary:
Its formation enthalpy at 0 K is -0.485 eV/atom. The value obtained for the energy above the most stable polymorph in this dataset is 210.0 meV per atom.

Cell lengths 4.2208, 4.2208, 3.0948 Å; angles 90.00, 90.00, 120.00 degrees
Space group P-6m2 (No. 187)
Asymmetric unit:
Hf (0.0000, 0.0000, 0.0000) x1
Ni (0.3333, 0.6667, 0.5000) x1
Ir (0.6667, 0.3333, 0.5000) x1

***

(20)
Material: TbHoSi4
Method: DFT, PBE
State: optimized geometry

Summary:
The raw formation energy comes out at -0.4072 eV per atom.

Cell lengths 8.794, 13.648, 4.232 Å; angles 90.00, 90.00, 90.00 degrees
Space group Pbam (No. 55)
Asymmetric unit:
Tb (0.049, 0.132, 0.000) x4
Ho (0.146, 0.415, 0.000) x4
Si (0.041, 0.285, 0.500) x4
Si (0.098, 0.563, 0.500) x4
Si (0.139, 0.990, 0.500) x4
Si (0.184, 0.816, 0.500) x4

***

(21)
Material: Co2AgAs
Method: DFT, PBE
State: optimized geometry

Summary:
Its formation enthalpy at 0 K is 0.421 eV/atom.

Cell lengths 6.089, 6.089, 6.089 Å; angles 90.00, 90.00, 90.00 degrees
Space group F-43m (No. 216)
Asymmetric unit:
Co (0.000, 0.000, 0.000) x4
Co (0.250, 0.250, 0.250) x4
Ag (0.250, 0.250, 0.750) x4
As (0.000, 0.000, 0.500) x4

***

(22)
Material: V2Ge2S7
Method: DFT, PBE
State: optimized geometry

Summary:
The raw formation energy comes out at -0.3905 eV per atom.

Cell lengths 6.448, 10.216, 7.945 Å; angles 90.00, 100.01, 90.00 degrees
Space group C2/m (No. 12)
Asymmetric unit:
V (0.000, 0.144, 0.000) x4
Ge (0.220, 0.000, 0.653) x4
S (0.000, 0.500, 0.500) x2
S (0.142, 0.000, 0.199) x4
S (0.236, 0.317, 0.158) x8

***

no.,DFT total energy (eV per atom)
1,-5.161
2,-3.859
3,-4.079
4,-2.916
5,-4.820
6,-4.625
7,-6.432
8,-5.715
9,-3.413
10,-5.627
11,-5.365
12,-7.893
13,-5.964
14,-6.214
15,-7.589
16,-5.983
17,-8.985
18,-4.995
19,-8.684
20,-5.557
21,-5.008
22,-5.515